Record 1
## CdCo2ReIr (PBE)

Data for a relaxed CdCo2ReIr crystal.

```
CdCo2ReIr
1.0
4.600 0.000 0.000
0.000 4.600 0.000
0.000 0.000 4.749
Cd Co Re Ir
1 2 1 1
direct
0.000 0.000 0.000 Cd
0.000 0.500 0.500 Co
0.500 0.000 0.500 Co
0.500 0.500 0.000 Re
0.500 0.500 0.500 Ir
```

Computed properties:
formation energy from the elements = 1.4407 eV per atom

Record 2
## Cd2CoSbIr (PBE)

Data for a relaxed Cd2CoSbIr crystal.

```
Cd2CoSbIr
1.0
5.213 0.000 0.000
0.000 5.213 0.000
0.000 0.000 4.910
Cd Co Sb Ir
2 1 1 1
direct
0.000 0.500 0.000 Cd
0.500 0.000 0.000 Cd
0.000 0.000 0.500 Co
0.500 0.500 0.500 Sb
0.500 0.500 0.000 Ir
```

Computed properties:
uncorrected formation energy = 795.7 meV per atom

Record 3
## TaCdCoIr (PBE)

Data for a relaxed TaCdCoIr crystal.

```
TaCdCoIr
1.0
0.000 3.151 3.151
3.151 0.000 3.151
3.151 3.151 0.000
Ta Cd Co Ir
1 1 1 1
direct
0.000 0.000 0.000 Ta
0.500 0.500 0.500 Cd
0.250 0.250 0.250 Co
0.750 0.750 0.750 Ir
```

Computed properties:
formation energy from the elements = -0.1081 eV per atom

Record 4
## TaCdCo2Ir (PBE)

Data for a relaxed TaCdCo2Ir crystal.

```
TaCdCo2Ir
1.0
4.435 0.000 0.000
0.000 4.435 0.000
0.000 0.000 5.038
Ta Cd Co Ir
1 1 2 1
direct
0.000 0.000 0.000 Ta
0.000 0.000 0.500 Cd
0.000 0.500 0.500 Co
0.500 0.000 0.500 Co
0.500 0.500 0.000 Ir
```

Computed properties:
formation energy from the elements = 2.1051 eV per atom

Record 5
## TiCdCoIr (PBE)

Data for a relaxed TiCdCoIr crystal.

```
TiCdCoIr
1.0
0.000 3.107 3.107
3.107 0.000 3.107
3.107 3.107 0.000
Ti Cd Co Ir
1 1 1 1
direct
0.000 0.000 0.000 Ti
0.500 0.500 0.500 Cd
0.750 0.750 0.750 Co
0.250 0.250 0.250 Ir
```

Computed properties:
formation energy from the elements = -0.2186 eV per atom

Record 6
## ZnCdCo2Ir (PBE)

Data for a relaxed ZnCdCo2Ir crystal.

```
ZnCdCo2Ir
1.0
4.301 0.000 0.000
0.000 4.301 0.000
0.000 0.000 4.650
Zn Cd Co Ir
1 1 2 1
direct
0.000 0.000 0.000 Zn
0.000 0.000 0.500 Cd
0.000 0.500 0.000 Co
0.500 0.000 0.000 Co
0.500 0.500 0.500 Ir
```

Computed properties:
formation energy from the elements = 1.3376 eV per atom

Record 7
## KCdCo4 (PBE)

Data for a relaxed KCdCo4 crystal.

```
KCdCo4
1.0
0.000 3.609 3.609
3.609 0.000 3.609
3.609 3.609 0.000
K Cd Co
1 1 4
direct
0.000 0.000 0.000 K
0.750 0.750 0.750 Cd
0.376 0.376 0.376 Co
0.376 0.376 0.872 Co
0.376 0.872 0.376 Co
0.872 0.376 0.376 Co
```

Computed properties:
formation energy from the elements = 0.6098 eV per atom

Record 8
## KCdCo2 (PBE)

Data for a relaxed KCdCo2 crystal.

```
KCdCo2
1.0
4.203 -2.061 0.000
4.203 2.061 0.000
-2.552 0.000 5.994
K Cd Co
1 1 2
direct
0.000 0.000 0.000 K
0.500 0.500 0.500 Cd
0.200 0.200 0.530 Co
0.800 0.800 0.470 Co
```

Computed properties:
formation energy from the elements = 0.5325 eV per atom

no.,total energy (eV/atom)
1,-5.85
2,-3.59
3,-7.29
4,-5.06
5,-6.41
6,-3.71
7,-4.46
8,-3.52